VASP calculation (PBE) on a relaxed structure of DyBiPd14.

POSCAR file:
```
DyBiPd14
1.0
5.757 -0.012 0.000
0.012 5.757 0.000
0.000 0.000 7.957
Pd Bi Dy
14 1 1
Direct
0.125 0.125 0.242
0.875 0.375 0.500
0.625 0.625 0.758
0.875 0.375 0.000
0.625 0.625 0.242
0.125 0.625 0.242
0.375 0.875 0.000
0.375 0.875 0.500
0.375 0.375 0.000
0.625 0.125 0.758
0.875 0.875 0.000
0.625 0.125 0.242
0.125 0.125 0.758
0.125 0.625 0.758
0.375 0.375 0.500
0.875 0.875 0.500
```

Computed properties:
- Raw total energy: -5.340 eV/atom
- Space group: P4/mmm (123)